An optimized crystal structure of Zr4NiAu, computed with PBE.

Computed properties:
- formation energy from the elements (eV per formula unit) = 2.3
- space group = F-43m (216)

```
Zr4NiAu
1.0
-1.411 -4.701 2.695
-4.116 -3.236 -1.984
1.196 -4.985 -2.253
Zr Ni Au
4 1 1
direct
0.876 0.375 0.375
0.375 0.375 0.876
0.375 0.876 0.375
0.375 0.375 0.375
0.000 0.000 0.000
0.750 0.750 0.750
```

An optimized crystal structure of Zr2NiAu, computed with PBE.

Computed properties:
- formation energy from the elements (eV per formula unit) = 0.9
- space group = I-42d (122)

```
Zr2NiAu
1.0
-0.585 -3.841 1.516
3.907 -1.010 -1.052
4.637 0.411 8.566
Ni Au Zr
2 2 4
direct
0.500 0.500 0.000
0.250 0.750 0.500
0.000 0.000 0.000
0.750 0.250 0.500
0.617 0.125 0.250
0.133 0.625 0.250
0.375 0.383 0.750
0.875 0.867 0.750
```

An optimized crystal structure of Zr2NiAu, computed with PBE.

Computed properties:
- formation energy from the elements (eV per formula unit) = -1.6
- space group = P4/mmm (123)

```
Zr2NiAu
1.0
3.241 0.000 0.000
0.000 3.244 0.000
0.000 0.000 7.023
Au Ni Zr
1 1 2
direct
0.500 0.500 0.250
0.500 0.500 0.750
0.000 0.000 0.977
0.000 0.000 0.523
```

An optimized crystal structure of Zr11Ni4Au9, computed with PBE.

Computed properties:
- formation energy from the elements (eV per formula unit) = -12.6
- space group = Cmmm (65)

```
Zr11Ni4Au9
1.0
3.329 0.000 0.000
0.000 11.156 -4.819
0.000 -0.047 12.152
Zr Ni Au
11 4 9
direct
0.000 0.592 0.931
0.000 0.408 0.069
0.000 0.931 0.592
0.000 0.069 0.408
0.000 0.629 0.371
0.000 0.371 0.629
0.000 0.835 0.165
0.000 0.165 0.835
0.000 0.000 0.000
0.000 0.697 0.697
0.000 0.303 0.303
0.500 0.551 0.748
0.500 0.449 0.252
0.500 0.748 0.551
0.500 0.252 0.449
0.500 0.624 0.158
0.500 0.376 0.842
0.500 0.158 0.624
0.500 0.842 0.376
0.500 0.783 0.926
0.500 0.217 0.074
0.500 0.926 0.783
0.500 0.074 0.217
0.500 0.500 0.500
```

An optimized crystal structure of Zr3Ni8Au, computed with PBE.

Computed properties:
- formation energy from the elements (eV per formula unit) = -5.3
- space group = P3m1 (156)

```
Zr3Ni8Au
1.0
4.888 0.000 0.000
-2.444 4.234 0.000
0.000 0.000 8.025
Zr Ni Au
3 8 1
direct
0.667 0.333 0.459
0.667 0.333 0.071
0.000 0.000 0.906
0.333 0.667 0.500
0.333 0.667 0.007
0.500 0.001 0.755
0.500 0.500 0.755
0.999 0.500 0.755
0.165 0.329 0.248
0.165 0.835 0.248
0.671 0.835 0.248
0.000 0.000 0.549
```

An optimized crystal structure of Np4Au, computed with PBE.

Computed properties:
- formation energy from the elements (eV per formula unit) = 6.5
- space group = Pm-3m (221)

```
Np4Au
1.0
-2.307 -4.904 1.166
3.939 -0.953 3.783
-3.146 2.403 3.881
Np Au
4 1
direct
0.000 0.000 0.000
0.500 0.000 0.500
0.000 0.500 0.500
0.500 0.500 0.000
0.500 0.500 0.500
```

An optimized crystal structure of NpAu, computed with PBE.

Computed properties:
- formation energy from the elements (eV per formula unit) = 0.1
- space group = P2_1/m (11)

```
NpAu
1.0
2.895 0.000 0.321
0.000 4.721 0.000
-0.438 0.000 5.831
Np Au
2 2
direct
0.685 0.750 0.574
0.315 0.250 0.426
0.216 0.750 0.092
0.784 0.250 0.908
```

An optimized crystal structure of NpAu12, computed with PBE.

Computed properties:
- formation energy from the elements (eV per formula unit) = 7.8
- space group = Fm-3m (225)

```
NpAu12
1.0
-4.193 -6.684 1.712
3.675 -6.290 3.481
-1.631 -1.886 7.679
Np Au
1 12
direct
0.000 0.000 0.000
0.839 0.500 0.500
0.161 0.500 0.500
0.161 0.839 0.500
0.500 0.500 0.161
0.500 0.161 0.839
0.500 0.839 0.161
0.161 0.500 0.839
0.500 0.161 0.500
0.500 0.500 0.839
0.839 0.500 0.161
0.500 0.839 0.500
0.839 0.161 0.500
```

An optimized crystal structure of NpAu12, computed with PBE.

Computed properties:
- formation energy from the elements (eV per formula unit) = -0.2
- space group = I4/mmm (139)

```
NpAu12
1.0
-5.624 -0.404 0.417
-3.005 -3.540 -5.634
-2.148 -6.028 3.515
Np Au
1 12
direct
0.000 0.000 0.000
0.500 0.000 0.500
0.000 0.000 0.500
0.500 0.500 0.000
0.000 0.500 0.000
0.000 0.654 0.346
0.000 0.346 0.654
0.654 0.346 0.346
0.346 0.654 0.654
0.500 0.213 0.787
0.500 0.787 0.213
0.713 0.787 0.787
0.287 0.213 0.213
```

An optimized crystal structure of NpAu4, computed with PBE.

Computed properties:
- formation energy from the elements (eV per formula unit) = 5.3
- space group = Pm-3m (221)

```
NpAu4
1.0
5.447 0.000 0.000
0.000 5.447 0.000
0.000 0.000 5.447
Np Au
1 4
direct
0.500 0.500 0.500
0.000 0.000 0.000
0.500 0.000 0.500
0.000 0.500 0.500
0.500 0.500 0.000
```

An optimized crystal structure of NpAu4, computed with PBE.

Computed properties:
- formation energy from the elements (eV per formula unit) = -0.7
- space group = C2/m (12)

```
NpAu4
1.0
4.654 0.148 1.592
1.838 4.278 1.592
0.044 0.030 5.295
Np Au
1 4
direct
0.000 0.000 0.000
0.391 0.391 0.774
0.609 0.609 0.226
0.762 0.762 0.642
0.238 0.238 0.358
```

An optimized crystal structure of Np2AuO11, computed with PBE.

Computed properties:
- energy relative to the elements, uncorrected (eV per atom) = -1.17
- space group = Ibam (72)

```
Np2AuO11
1.0
4.534 -1.068 7.554
5.414 5.245 -4.684
-8.105 2.898 2.161
Np Au O
4 2 22
direct
0.271 0.127 0.397
0.729 0.873 0.603
0.771 0.373 0.144
0.229 0.627 0.856
0.250 0.750 0.500
0.750 0.250 0.500
0.293 0.329 0.385
0.707 0.671 0.615
0.944 0.908 0.615
0.556 0.171 0.964
0.056 0.092 0.385
0.444 0.829 0.036
0.207 0.592 0.036
0.793 0.408 0.964
0.000 0.000 0.000
0.500 0.500 0.000
0.375 0.413 0.788
0.625 0.587 0.212
0.875 0.087 0.962
0.125 0.913 0.038
0.491 0.142 0.393
0.509 0.858 0.607
0.750 0.098 0.607
0.750 0.358 0.348
0.250 0.902 0.393
0.250 0.642 0.652
0.009 0.402 0.652
0.991 0.598 0.348
```